[1]
# KMn2VOs

Crystalline KMn2VOs at its relaxed geometry (PBE-GGA, the Alexandria database).

```
KMn2VOs
1.0
-1.4225 -3.4211 -3.0834
2.8951 -2.9384 1.9246
-3.4369 -1.3597 3.0942
V Os Mn K
1 1 2 1
Direct
0.0000 0.0000 0.0000 V
0.0000 0.5000 0.0000 Os
0.5000 0.0000 0.0000 Mn
0.0000 0.0000 0.5000 Mn
0.5000 0.5000 0.5000 K
```

Output
DFT formation energy   1180 meV/atom

=====

[2]
# AcScIn

Crystalline AcScIn at its relaxed geometry (PBE-GGA, the Alexandria database).

```
AcScIn
1.0
-1.1797 1.5863 -3.1365
2.4990 -1.9480 -1.9251
-5.0973 -4.7146 1.7240
Ac Sc In
1 1 1
Direct
0.2853 0.2853 0.5706 Ac
0.5931 0.5931 0.1862 Sc
0.9716 0.9716 0.9432 In
```

Output
DFT formation energy   -204 meV/atom

=====

[3]
# Tb3Sc

Crystalline Tb3Sc at its relaxed geometry (PBE-GGA, the Alexandria database).

```
Tb3Sc
1.0
5.5484 0.0000 0.0000
0.0000 7.1060 0.0000
0.0000 -3.5530 6.1540
Tb Sc
6 2
Direct
0.2500 0.1693 0.8307 Tb
0.7500 0.3386 0.1693 Tb
0.7500 0.8307 0.6614 Tb
0.2500 0.6614 0.8307 Tb
0.2500 0.1693 0.3386 Tb
0.7500 0.8307 0.1693 Tb
0.7500 0.3333 0.6667 Sc
0.2500 0.6667 0.3333 Sc
```

Output
DFT formation energy   22 meV/atom

=====

[4]
# AcGa2Sn

Crystalline AcGa2Sn at its relaxed geometry (PBE-GGA, the Alexandria database).

```
AcGa2Sn
1.0
-1.1472 3.9915 -2.4012
-3.8565 0.0584 -2.8527
-4.6951 2.9617 2.3741
Ga Ac Sn
2 1 1
Direct
0.7801 0.7801 0.6598 Ga
0.2199 0.2199 0.3402 Ga
0.0000 0.0000 0.0000 Ac
0.5000 0.5000 0.5000 Sn
```

Output
DFT formation energy   -381 meV/atom

=====

[5]
# KPd2W

Crystalline KPd2W at its relaxed geometry (PBE-GGA, the Alexandria database).

```
KPd2W
1.0
-2.6390 -6.7263 -2.3725
2.6362 1.4308 -6.9885
2.8509 -4.0454 -3.8907
Pd K W
4 2 2
Direct
0.0567 0.6250 0.2500 Pd
0.3750 0.3067 0.7500 Pd
0.8750 0.9433 0.7500 Pd
0.6933 0.1250 0.2500 Pd
0.2500 0.7500 0.5000 K
0.5000 0.5000 0.0000 K
0.0000 0.0000 0.0000 W
0.7500 0.2500 0.5000 W
```

Output
DFT formation energy   1012 meV/atom

=====

[6]
# CeSn2Rh2

Crystalline CeSn2Rh2 at its relaxed geometry (PBE-GGA, the Alexandria database).

```
CeSn2Rh2
1.0
-2.2288 3.7425 0.9919
-1.1566 0.4486 -4.2917
-8.9714 -5.8222 1.8091
Sn Rh Ce
4 4 2
Direct
0.2500 0.2500 0.8704 Sn
0.7500 0.2500 0.5000 Sn
0.7500 0.7500 0.1296 Sn
0.2500 0.7500 0.5000 Sn
0.7500 0.2500 0.0000 Rh
0.2500 0.2500 0.6335 Rh
0.2500 0.7500 0.0000 Rh
0.7500 0.7500 0.3665 Rh
0.7500 0.7500 0.7498 Ce
0.2500 0.2500 0.2503 Ce
```

Output
DFT formation energy   -676 meV/atom

=====

[7]
# Sm3Se4

Crystalline Sm3Se4 at its relaxed geometry (PBE-GGA, the Alexandria database).

```
Sm3Se4
1.0
-6.1812 -1.4300 -4.2999
6.0558 -3.6714 -2.9306
-1.2476 -2.4385 7.1581
Sm Se
6 8
Direct
0.2500 0.1250 0.8750 Sm
0.1250 0.8750 0.2500 Sm
0.7500 0.3750 0.6250 Sm
0.3750 0.6250 0.7500 Sm
0.6250 0.7500 0.3750 Sm
0.8750 0.2500 0.1250 Sm
0.1468 0.5000 0.0000 Se
0.8532 0.8532 0.8532 Se
0.5000 0.0000 0.6468 Se
0.6468 0.5000 0.0000 Se
0.3532 0.3532 0.3532 Se
0.5000 0.0000 0.1468 Se
0.0000 0.1468 0.5000 Se
0.0000 0.6468 0.5000 Se
```

Output
Formation energy from raw total energies   -1.834 eV per atom

=====

[8]
# MgMoPRh2

Crystalline MgMoPRh2 at its relaxed geometry (PBE-GGA, the Alexandria database).

```
MgMoPRh2
1.0
4.3534 0.0000 0.0000
0.0000 4.7652 0.0000
0.0000 0.0000 4.3534
Mg Rh P Mo
1 2 1 1
Direct
0.0000 0.0000 0.0000 Mg
0.5000 0.0000 0.0000 Rh
0.0000 0.0000 0.5000 Rh
0.5000 0.5000 0.5000 P
0.0000 0.5000 0.0000 Mo
```

Output
DFT formation energy   1572 meV/atom

=====

[9]
# KTlAg2

Crystalline KTlAg2 at its relaxed geometry (PBE-GGA, the Alexandria database).

```
KTlAg2
1.0
-5.3211 -0.3589 1.6978
0.0520 -4.1008 3.8087
3.2682 4.5350 -0.2800
Ag Tl K
2 1 1
Direct
0.0000 0.0000 0.0000 Ag
0.2500 0.7500 0.5000 Ag
0.7500 0.2500 0.5000 Tl
0.5000 0.5000 0.0000 K
```

Output
DFT formation energy   154 meV/atom

=====

[10]
# Ho2GeAu

Crystalline Ho2GeAu at its relaxed geometry (PBE-GGA, the Alexandria database).

```
Ho2GeAu
1.0
-0.4282 -3.7111 -2.2148
2.7786 -3.2677 0.6802
-2.9542 -4.5711 3.9725
Au Ho Ge
1 2 1
Direct
0.5000 0.5000 0.5000 Au
0.2545 0.2545 0.2365 Ho
0.7455 0.7455 0.7635 Ho
0.0000 0.0000 0.0000 Ge
```

Output
DFT formation energy   -720 meV/atom

=====

[11]
# TmBi2Au

Crystalline TmBi2Au at its relaxed geometry (PBE-GGA, the Alexandria database).

```
TmBi2Au
1.0
4.2909 0.0000 0.0000
0.0000 4.8975 0.0000
0.0000 0.0000 4.8975
Bi Tm Au
2 1 1
Direct
0.0000 0.5000 0.0000 Bi
0.0000 0.0000 0.5000 Bi
0.5000 0.5000 0.5000 Tm
0.5000 0.0000 0.0000 Au
```

Output
DFT formation energy   -398 meV/atom

=====

[12]
# K2InSnI4

Crystalline K2InSnI4 at its relaxed geometry (PBE-GGA, the Alexandria database).

```
K2InSnI4
1.0
7.0548 0.0044 0.0000
-0.0027 7.0548 0.0000
-3.5261 -3.5296 6.9803
I K Sn In
4 2 1 1
Direct
0.5140 0.0140 0.0281 I
0.2516 0.2516 0.5032 I
0.9860 0.4860 0.9719 I
0.7484 0.7484 0.4968 I
0.0000 0.0000 0.0000 K
0.2500 0.7500 0.5000 K
0.7500 0.2500 0.5000 Sn
0.5000 0.5000 0.0000 In
```

Output
Formation energy from raw total energies   -0.802 eV per atom

=====

[13]
# FeTePS2

Crystalline FeTePS2 at its relaxed geometry (PBE-GGA, the Alexandria database).

```
FeTePS2
1.0
4.4246 0.0000 0.0000
0.0000 4.6601 0.0000
0.0000 0.0000 4.4246
Fe Te S P
1 1 2 1
Direct
0.0000 0.0000 0.0000 Fe
0.5000 0.5000 0.5000 Te
0.0000 0.0000 0.5000 S
0.5000 0.0000 0.0000 S
0.0000 0.5000 0.0000 P
```

Output
Formation energy from raw total energies   0.379 eV per atom

=====

[14]
# Pu2AsH

Crystalline Pu2AsH at its relaxed geometry (PBE-GGA, the Alexandria database).

```
Pu2AsH
1.0
-0.8015 0.9066 -3.3566
-4.5250 0.5342 1.2247
0.8137 4.5319 1.0298
As H Pu
1 1 2
Direct
0.5000 0.0000 0.0000 As
0.5000 0.5000 0.5000 H
0.0000 0.5000 0.0000 Pu
0.0000 0.0000 0.5000 Pu
```

=====

| no. | calculated volume (Å³/cell) | DFT total energy (eV per atom) |
| --- | --- | --- |
| 1 | 106 | -6.777 |
| 2 | 91 | -4.597 |
| 3 | 243 | -5.034 |
| 4 | 107 | -3.922 |
| 5 | 189 | -5.098 |
| 6 | 216 | -6.404 |
| 7 | 347 | -5.848 |
| 8 | 90 | -4.936 |
| 9 | 104 | -2.138 |
| 10 | 102 | -4.983 |
| 11 | 103 | -4.276 |
| 12 | 347 | -2.695 |
| 13 | 91 | -4.675 |
| 14 | 79 | -9.558 |